Record 1
# Sc2PtC

A crystal of Sc2PtC relaxed with PBEsol (SCAN, the Alexandria database).

Cell lengths 6.3249, 6.3249, 6.7648 Å; angles 90.00, 90.00, 90.00 degrees
With the nearest neighbours (Å) after each atom.
Atoms (fractional coordinates):
Sc: 0.1836 0.2500 0.1250  2 C 2.14
Sc: 0.2500 0.6836 0.3750  2 C 2.14
Sc: 0.2500 0.8164 0.8750  2 C 2.14
Sc: 0.3164 0.2500 0.6250  2 C 2.14
Sc: 0.6836 0.7500 0.6250  2 C 2.14
Sc: 0.7500 0.1836 0.8750  2 C 2.14
Sc: 0.7500 0.3164 0.3750  2 C 2.14
Sc: 0.8164 0.7500 0.1250  2 C 2.14
Pt: 0.0000 0.0000 0.5000  4 Sc 2.69
Pt: 0.0000 0.5000 0.7500  4 Sc 2.69
Pt: 0.5000 0.0000 0.2500  4 Sc 2.69
Pt: 0.5000 0.5000 0.0000  4 Sc 2.69
C: 0.0000 0.0000 0.0000  4 Sc 2.14
C: 0.0000 0.5000 0.2500  4 Sc 2.14
C: 0.5000 0.0000 0.7500  4 Sc 2.14
C: 0.5000 0.5000 0.5000  4 Sc 2.14

Output
M_tot	0.000	μB per atom
energy of formation	-0.5107	eV per atom
total DFT energy (no corrections)	-27.703	eV per atom

=====

Record 2
# Ga5Pt

A crystal of Ga5Pt relaxed with PBEsol (SCAN, the Alexandria database).

Cell lengths 6.3557, 15.6712, 8.8537 Å; angles 90.00, 110.45, 90.00 degrees
With the nearest neighbours (Å) after each atom.
Atoms (fractional coordinates):
Ga: 0.0018 0.0007 0.3577  1 Ga 2.53, 2 Pt 2.56-2.57
Ga: 0.0018 0.4993 0.3577  1 Ga 2.53, 2 Pt 2.56-2.57
Ga: 0.0736 0.6682 0.7755  8 Ga 2.56-2.85, 1 Pt 2.59
Ga: 0.0736 0.8318 0.7755  8 Ga 2.56-2.85, 1 Pt 2.59
Ga: 0.0786 0.6677 0.2643  8 Ga 2.56-2.86, 1 Pt 2.57
Ga: 0.0786 0.8323 0.2643  8 Ga 2.56-2.86, 1 Pt 2.57
Ga: 0.0966 0.0700 0.0250  2 Ga 2.48-2.74, 2 Pt 2.57-2.58
Ga: 0.0966 0.4300 0.0250  2 Ga 2.48-2.74, 2 Pt 2.57-2.58
Ga: 0.2090 0.1698 0.5516  2 Ga 2.51-2.68, 2 Pt 2.59
Ga: 0.2090 0.3302 0.5516  2 Ga 2.51-2.68, 2 Pt 2.59
Ga: 0.2954 0.6644 0.5738  1 Pt 2.55, 4 Ga 2.60-2.81
Ga: 0.2954 0.8356 0.5738  1 Pt 2.55, 4 Ga 2.60-2.81
Ga: 0.3098 0.6654 0.0790  1 Pt 2.53, 4 Ga 2.56-2.78
Ga: 0.3098 0.8346 0.0790  1 Pt 2.53, 4 Ga 2.56-2.78
Ga: 0.3155 0.2500 0.9383  3 Ga 2.49-2.78, 2 Pt 2.61
Ga: 0.3224 0.2500 0.2214  1 Ga 2.49, 2 Pt 2.61
Ga: 0.4446 0.5607 0.8628  3 Pt 2.57-2.69, 3 Ga 2.74-2.87
Ga: 0.4446 0.9393 0.8628  3 Pt 2.57-2.69, 3 Ga 2.74-2.87
Ga: 0.4498 0.5583 0.3610  3 Pt 2.54-2.71, 2 Ga 2.68-2.80
Ga: 0.4498 0.9417 0.3610  3 Pt 2.54-2.71, 2 Ga 2.68-2.80
Ga: 0.5502 0.0583 0.6390  3 Pt 2.54-2.71, 2 Ga 2.68-2.80
Ga: 0.5502 0.4417 0.6390  3 Pt 2.54-2.71, 2 Ga 2.68-2.80
Ga: 0.5554 0.0607 0.1372  3 Pt 2.57-2.69, 3 Ga 2.74-2.87
Ga: 0.5554 0.4393 0.1372  3 Pt 2.57-2.69, 3 Ga 2.74-2.87
Ga: 0.6776 0.7500 0.7786  1 Ga 2.49, 2 Pt 2.61
Ga: 0.6845 0.7500 0.0617  3 Ga 2.49-2.78, 2 Pt 2.61
Ga: 0.6902 0.1654 0.9210  1 Pt 2.53, 4 Ga 2.56-2.78
Ga: 0.6902 0.3346 0.9210  1 Pt 2.53, 4 Ga 2.56-2.78
Ga: 0.7046 0.1644 0.4262  1 Pt 2.55, 4 Ga 2.60-2.81
Ga: 0.7046 0.3356 0.4262  1 Pt 2.55, 4 Ga 2.60-2.81
Ga: 0.7910 0.6698 0.4484  2 Ga 2.51-2.68, 2 Pt 2.59
Ga: 0.7910 0.8302 0.4484  2 Ga 2.51-2.68, 2 Pt 2.59
Ga: 0.9034 0.5700 0.9750  2 Ga 2.48-2.74, 2 Pt 2.57-2.58
Ga: 0.9034 0.9300 0.9750  2 Ga 2.48-2.74, 2 Pt 2.57-2.58
Ga: 0.9214 0.1677 0.7357  8 Ga 2.56-2.86, 1 Pt 2.57
Ga: 0.9214 0.3323 0.7357  8 Ga 2.56-2.86, 1 Pt 2.57
Ga: 0.9264 0.1682 0.2245  8 Ga 2.56-2.85, 1 Pt 2.59
Ga: 0.9264 0.3318 0.2245  8 Ga 2.56-2.85, 1 Pt 2.59
Ga: 0.9982 0.5007 0.6423  1 Ga 2.53, 2 Pt 2.56-2.57
Ga: 0.9982 0.9993 0.6423  1 Ga 2.53, 2 Pt 2.56-2.57
Pt: 0.3082 0.0947 0.8288  9 Ga 2.53-2.71
Pt: 0.3082 0.4053 0.8288  9 Ga 2.53-2.71
Pt: 0.3160 0.0953 0.3275  9 Ga 2.54-2.70
Pt: 0.3160 0.4047 0.3275  9 Ga 2.54-2.70
Pt: 0.6840 0.5953 0.6725  9 Ga 2.54-2.70
Pt: 0.6840 0.9047 0.6725  9 Ga 2.54-2.70
Pt: 0.6918 0.5947 0.1712  9 Ga 2.53-2.71
Pt: 0.6918 0.9053 0.1712  9 Ga 2.53-2.71

Output
M_tot	0.000	μB per atom
energy of formation	-0.3744	eV per atom
total DFT energy (no corrections)	-25.695	eV per atom

=====

Record 3
# MnSi2Sb

A crystal of MnSi2Sb relaxed with PBEsol (SCAN, the Alexandria database).

Cell lengths 2.9725, 3.0146, 7.4945 Å; angles 90.00, 101.32, 90.00 degrees
With the nearest neighbours (Å) after each atom.
Atoms (fractional coordinates):
Mn: 0.0000 0.0000 0.0000  5 Si 2.37-2.52
Si: 0.4278 0.5000 0.8541  4 Mn 2.37, 4 Si 2.56-2.57
Si: 0.8300 0.0000 0.6570  1 Mn 2.52, 4 Si 2.56-2.57
Sb: 0.6246 0.5000 0.2484  4 Mn 2.79-2.80, 1 Si 2.90, 4 Sb 2.97-3.01

Output
M_tot	0.000	μB per atom
total DFT energy (no corrections)	-18.610	eV per atom

=====

Record 4
# CaNbSe2

A crystal of CaNbSe2 relaxed with PBEsol (SCAN, the Alexandria database).

Cell lengths 3.5413, 3.5413, 27.1210 Å; angles 90.00, 90.00, 120.00 degrees
With the nearest neighbours (Å) after each atom.
Atoms (fractional coordinates):
Ca: 0.0000 0.0000 0.0000  2 Se 2.87
Ca: 0.3333 0.6667 0.6667  2 Se 2.87
Ca: 0.6667 0.3333 0.3333  2 Se 2.87
Nb: 0.0000 0.0000 0.5000  6 Se 2.63
Nb: 0.3333 0.6667 0.1667  6 Se 2.63
Nb: 0.6667 0.3333 0.8333  6 Se 2.63
Se: 0.0000 0.0000 0.1059  3 Nb 2.63, 1 Ca 2.87
Se: 0.0000 0.0000 0.8941  3 Nb 2.63, 1 Ca 2.87
Se: 0.3333 0.6667 0.5608  3 Nb 2.63, 1 Ca 2.87
Se: 0.3333 0.6667 0.7725  3 Nb 2.63, 1 Ca 2.87
Se: 0.6667 0.3333 0.2275  3 Nb 2.63, 1 Ca 2.87
Se: 0.6667 0.3333 0.4392  3 Nb 2.63, 1 Ca 2.87

Output
M_tot	0.036	μB per atom
total DFT energy (no corrections)	-21.488	eV per atom
ΔE to the lowest computed polymorph	162	meV/atom

=====

Record 5
# KCo2Sb

A crystal of KCo2Sb relaxed with PBEsol (SCAN, the Alexandria database).

Cell lengths 3.1460, 3.1460, 7.8875 Å; angles 90.00, 90.00, 90.00 degrees
With the nearest neighbours (Å) after each atom.
Atoms (fractional coordinates):
K: 0.0000 0.0000 0.0000  4 K 3.15, 5 Co 3.37-3.44
Co: 0.0000 0.0000 0.5634  4 Co 2.40
Co: 0.5000 0.5000 0.6789  4 Co 2.40, 1 Sb 2.51
Sb: 0.5000 0.5000 0.3611  5 Co 2.51-2.74

Output
M_tot	0.813	μB per atom
total DFT energy (no corrections)	-19.711	eV per atom
ΔE to the lowest computed polymorph	0	meV/atom

=====

Record 6
# BaCuIr2

A crystal of BaCuIr2 relaxed with PBEsol (SCAN, the Alexandria database).

Cell lengths 2.9129, 4.3538, 6.2105 Å; angles 90.00, 101.32, 90.00 degrees
With the nearest neighbours (Å) after each atom.
Atoms (fractional coordinates):
Ba: 0.0000 0.0000 0.0000  2 Ba 2.91, 2 Cu 3.16, 4 Ir 3.23
Cu: 0.5000 0.0000 0.5000  4 Ir 2.53
Ir: 0.3151 0.5000 0.6725  2 Cu 2.53, 2 Ir 2.53-2.58
Ir: 0.6849 0.5000 0.3275  2 Cu 2.53, 2 Ir 2.53-2.58

Output
M_tot	0.000	μB per atom
energy of formation	0.5041	eV per atom
total DFT energy (no corrections)	-48.733	eV per atom
ΔE to the lowest computed polymorph	762	meV/atom

=====

Record 7
# TlCo2Si

A crystal of TlCo2Si relaxed with PBEsol (SCAN, the Alexandria database).

Cell lengths 2.7954, 2.7941, 6.6605 Å; angles 90.00, 91.15, 90.00 degrees
With the nearest neighbours (Å) after each atom.
Atoms (fractional coordinates):
Tl: 0.0000 0.0000 0.0000  4 Tl 2.79-2.80, 8 Co 2.80-2.87
Co: 0.4886 0.5000 0.3060  4 Si 2.36, 1 Co 2.58
Co: 0.5114 0.5000 0.6940  4 Si 2.36, 1 Co 2.58
Si: 0.0000 0.0000 0.5000  8 Co 2.36

Output
M_tot	0.000	μB per atom
total DFT energy (no corrections)	-29.080	eV per atom
ΔE to the lowest computed polymorph	0	meV/atom

=====

Record 8
# ScBH3

A crystal of ScBH3 relaxed with PBEsol (SCAN, the Alexandria database).

Cell lengths 3.1502, 3.1502, 3.1502 Å; angles 90.00, 90.00, 90.00 degrees
With the nearest neighbours (Å) after each atom.
Atoms (fractional coordinates):
Sc: 0.0000 0.0000 0.0000  12 H 2.23
B: 0.5000 0.5000 0.5000  6 H 1.58
H: 0.0000 0.5000 0.5000  2 B 1.58
H: 0.5000 0.0000 0.5000  2 B 1.58
H: 0.5000 0.5000 0.0000  2 B 1.58

Output
M_tot	0.100	μB per atom
total DFT energy (no corrections)	-6.196	eV per atom